This record from Alexandria via LeMat-Bulk describes crystalline NpAsP at its relaxed geometry. The functional is PBE.

Unit cell a=4.3013 b=4.3013 c=3.6171 alpha=90.00 beta=90.00 gamma=120.00
Sites, in units of the cell vectors:
Np1 0.0000 0.0000 0.0000
As1 0.6667 0.3333 0.5000
P1 0.3333 0.6667 0.5000

Output
DFT formation energy   -32.5 kJ per mole of atoms
Energy relative to the lowest polymorph listed for this composition   0.277 eV/atom
Total magnetic moment   1.229 μB/atom

This record from Alexandria via LeMat-Bulk describes crystalline NaBiN2 at its relaxed geometry. The functional is PBE.

Unit cell a=6.7210 b=6.7210 c=6.7210 alpha=35.23 beta=35.23 gamma=35.23
Sites, in units of the cell vectors:
Na1 0.0000 0.0000 0.0000
Bi1 0.5000 0.5000 0.5000
N1 0.3950 0.3950 0.3950
N2 0.6050 0.6050 0.6050

Output
Total magnetic moment   0.000 μB/atom
Raw formation energy   1314.1 meV/atom

This record from Alexandria via LeMat-Bulk describes crystalline Cs2TbTlI6 at its relaxed geometry. The functional is PBE.

Unit cell a=8.7812 b=12.8584 c=9.5634 alpha=90.00 beta=90.00 gamma=90.00
Sites, in units of the cell vectors:
Cs1 0.2500 0.0347 0.1991
Cs2 0.2500 0.4653 0.1991
Cs3 0.7500 0.5347 0.8009
Cs4 0.7500 0.9653 0.8009
Tb1 0.2500 0.7500 0.7817
Tb2 0.7500 0.2500 0.2183
Tl1 0.2500 0.2500 0.7128
Tl2 0.7500 0.7500 0.2872
I1 0.0027 0.2500 0.4335
I2 0.0100 0.7500 0.0141
I3 0.2500 0.5132 0.7858
I4 0.2500 0.9868 0.7858
I5 0.4900 0.7500 0.0141
I6 0.4973 0.2500 0.4335
I7 0.5027 0.7500 0.5665
I8 0.5100 0.2500 0.9859
I9 0.7500 0.0132 0.2142
I10 0.7500 0.4868 0.2142
I11 0.9900 0.2500 0.9859
I12 0.9973 0.7500 0.5665

Output
Total magnetic moment   0.000 μB/atom
Raw formation energy   -1320.8 meV/atom

This record from Alexandria via LeMat-Bulk describes crystalline RbThCuS3 at its relaxed geometry. The functional is PBE.

Unit cell a=9.1729 b=4.1144 c=9.3936 alpha=90.00 beta=108.53 gamma=90.00
Sites, in units of the cell vectors:
Rb1 0.2019 0.2500 0.2465
Rb2 0.7981 0.7500 0.7535
Th1 0.3171 0.7500 0.8300
Th2 0.6829 0.2500 0.1700
Cu1 0.0832 0.2500 0.5952
Cu2 0.9168 0.7500 0.4048
S1 0.1243 0.2500 0.8556
S2 0.1880 0.7500 0.5276
S3 0.4644 0.7500 0.1516
S4 0.5356 0.2500 0.8484
S5 0.8120 0.2500 0.4724
S6 0.8757 0.7500 0.1444

Output
Total magnetic moment   0.000 μB/atom
Raw formation energy   -1435.7 meV/atom

This record from Alexandria via LeMat-Bulk describes crystalline InCu2Os at its relaxed geometry. The functional is PBE.

Unit cell a=4.3933 b=4.3933 c=4.3933 alpha=60.00 beta=60.00 gamma=60.00
Sites, in units of the cell vectors:
In1 0.0000 0.0000 0.0000
Cu1 0.5000 0.5000 0.5000
Cu2 0.7500 0.7500 0.7500
Os1 0.2500 0.2500 0.2500

Output
DFT formation energy   41.2 kJ per mole of atoms
Total magnetic moment   0.000 μB/atom

This record from Alexandria via LeMat-Bulk describes crystalline K2ZrPt at its relaxed geometry. The functional is PBE.

Unit cell a=7.2682 b=7.2682 c=7.2682 alpha=150.47 beta=128.82 gamma=60.20
Sites, in units of the cell vectors:
K1 0.0000 0.0000 0.0000
K2 0.6875 0.1875 0.5000
Zr1 0.3654 0.3654 0.0000
Pt1 0.2290 0.7290 0.5000

Output
DFT formation energy   24.0 kJ per mole of atoms
Energy relative to the lowest polymorph listed for this composition   0.355 eV/atom
Total magnetic moment   0.329 μB/atom

This record from Alexandria via LeMat-Bulk describes crystalline CaSi2 at its relaxed geometry. The functional is PBE.

Unit cell a=10.3178 b=10.3178 c=10.3178 alpha=21.69 beta=21.69 gamma=21.69
Sites, in units of the cell vectors:
Ca1 0.0798 0.0798 0.0798
Ca2 0.9202 0.9202 0.9202
Si1 0.1826 0.1826 0.1826
Si2 0.3465 0.3465 0.3465
Si3 0.6535 0.6535 0.6535
Si4 0.8174 0.8174 0.8174

Output
Total magnetic moment   0.000 μB/atom
Raw formation energy   -384.0 meV/atom

This record from Alexandria via LeMat-Bulk describes crystalline V2AsC at its relaxed geometry. The functional is PBE.

Unit cell a=6.2212 b=6.2212 c=6.2212 alpha=28.59 beta=28.59 gamma=28.59
Sites, in units of the cell vectors:
V1 0.2241 0.2241 0.2241
V2 0.7759 0.7759 0.7759
As1 0.0000 0.0000 0.0000
C1 0.5000 0.5000 0.5000

Output
DFT formation energy   -43.9 kJ per mole of atoms
Energy relative to the lowest polymorph listed for this composition   0.081 eV/atom
Total magnetic moment   0.000 μB/atom

Computed V, in the same sequence as the records: 58.0, 90.2, 1079.8, 336.1, 60.0, 146.3, 131.5, 48.8 Å³ per cell.